Version w
First-principles (PBE-GGA) data for a geometry-optimized BaZn3Bi structure, as listed in the Alexandria database.

Summary:
theoretical density	4.4	g/cm³

Cell lengths 5.889, 5.889, 5.889 Å; angles 90.00, 90.00, 90.00 degrees
Space group Pm-3m (No. 221)
Asymmetric unit:
Ba 0.000 0.000 0.000 (multiplicity 1)
Zn 0.000 0.000 0.500 (multiplicity 3)
Bi 0.500 0.500 0.500 (multiplicity 1)

=====

Version x
First-principles (PBE-GGA) data for a geometry-optimized BaZn3Bi structure, as listed in the Alexandria database.

Summary:
theoretical density	5.3	g/cm³

Cell lengths 5.540, 5.540, 5.540 Å; angles 90.00, 90.00, 90.00 degrees
Space group Pm-3m (No. 221)
Asymmetric unit:
Ba 0.000 0.000 0.000 (multiplicity 1)
Zn 0.000 0.500 0.500 (multiplicity 3)
Bi 0.500 0.500 0.500 (multiplicity 1)

=====

Q: Which of them is the least stable? A: version w.

=====

Version w
First-principles (PBE-GGA) data for a geometry-optimized Ba2ZnBi structure, as listed in the Alexandria database.

Summary:
theoretical density	5.2	g/cm³

Cell lengths 9.188, 9.188, 8.330 Å; angles 90.00, 90.00, 90.00 degrees
Space group I-42d (No. 122)
Asymmetric unit:
Ba 0.244 0.250 0.125 (multiplicity 8)
Zn 0.000 0.000 0.000 (multiplicity 4)
Bi 0.000 0.000 0.500 (multiplicity 4)

=====

Version x
First-principles (PBE-GGA) data for a geometry-optimized Ba2ZnBi structure, as listed in the Alexandria database.

Summary:
theoretical density	6.0	g/cm³

Cell lengths 8.491, 8.491, 8.491 Å; angles 90.00, 90.00, 90.00 degrees
Space group Fm-3m (No. 225)
Asymmetric unit:
Ba 0.250 0.250 0.250 (multiplicity 8)
Zn 0.000 0.000 0.000 (multiplicity 4)
Bi 0.000 0.000 0.500 (multiplicity 4)

=====

Q: Which of them is the least stable? A: version w.

=====

Version w
First-principles (PBE-GGA) data for a geometry-optimized BaZnBi3 structure, as listed in the Alexandria database.

Summary:
theoretical density	8.2	g/cm³

Cell lengths 6.846, 7.010, 9.809 Å; angles 90.00, 134.25, 90.00 degrees
Space group Pc (No. 7)
Asymmetric unit:
Ba 0.000 0.212 0.000 (multiplicity 2)
Zn 0.318 0.382 0.501 (multiplicity 2)
Bi 0.225 0.304 0.751 (multiplicity 2)
Bi 0.606 0.100 0.500 (multiplicity 2)
Bi 0.724 0.304 0.250 (multiplicity 2)

=====

Version x
First-principles (PBE-GGA) data for a geometry-optimized BaZnBi3 structure, as listed in the Alexandria database.

Summary:
theoretical density	8.0	g/cm³

Cell lengths 5.568, 5.568, 5.568 Å; angles 90.00, 90.00, 90.00 degrees
Space group Pm-3m (No. 221)
Asymmetric unit:
Ba 0.000 0.000 0.000 (multiplicity 1)
Zn 0.500 0.500 0.500 (multiplicity 1)
Bi 0.000 0.500 0.500 (multiplicity 3)

=====

Version y
First-principles (PBE-GGA) data for a geometry-optimized BaZnBi3 structure, as listed in the Alexandria database.

Summary:
theoretical density	5.1	g/cm³

Cell lengths 6.455, 6.455, 6.455 Å; angles 90.00, 90.00, 90.00 degrees
Space group Pm-3m (No. 221)
Asymmetric unit:
Ba 0.000 0.000 0.000 (multiplicity 1)
Zn 0.500 0.500 0.500 (multiplicity 1)
Bi 0.000 0.000 0.500 (multiplicity 3)

=====

Q: Which of them is the least stable? A: version y.

=====

Version w
First-principles (PBE-GGA) data for a geometry-optimized Ba2ZnBi3 structure, as listed in the Alexandria database.

Summary:
theoretical density	7.0	g/cm³

Cell lengths 4.829, 4.984, 9.567 Å; angles 90.00, 90.00, 90.00 degrees
Space group Pmm2 (No. 25)
Asymmetric unit:
Ba 0.000 0.000 0.000 (multiplicity 1)
Ba 0.500 0.000 0.494 (multiplicity 1)
Zn 0.000 0.500 0.666 (multiplicity 1)
Bi 0.000 0.500 0.374 (multiplicity 1)
Bi 0.500 0.500 0.146 (multiplicity 1)
Bi 0.500 0.500 0.811 (multiplicity 1)

=====

Version x
First-principles (PBE-GGA) data for a geometry-optimized Ba2ZnBi3 structure, as listed in the Alexandria database.

Summary:
theoretical density	7.0	g/cm³

Cell lengths 12.155, 7.195, 11.148 Å; angles 90.00, 109.38, 90.00 degrees
Space group C2/c (No. 15)
Asymmetric unit:
Ba 0.191 0.042 0.084 (multiplicity 8)
Zn 0.000 0.322 0.250 (multiplicity 4)
Bi 0.000 0.066 0.750 (multiplicity 4)
Bi 0.113 0.456 0.600 (multiplicity 8)

=====

Q: Which of them is the least stable? A: version x.

=====

Version w
First-principles (PBE-GGA) data for a geometry-optimized BaZnBi4 structure, as listed in the Alexandria database.

Summary:
theoretical density	8.1	g/cm³

Cell lengths 9.467, 9.467, 9.467 Å; angles 90.00, 90.00, 90.00 degrees
Space group F-43m (No. 216)
Asymmetric unit:
Ba 0.000 0.000 0.000 (multiplicity 4)
Zn 0.250 0.250 0.250 (multiplicity 4)
Bi 0.123 0.123 0.623 (multiplicity 16)

=====

Version x
First-principles (PBE-GGA) data for a geometry-optimized BaZnBi4 structure, as listed in the Alexandria database.

Summary:
theoretical density	7.9	g/cm³

Cell lengths 7.073, 7.729, 8.751 Å; angles 72.26, 73.64, 83.95 degrees
Space group P-1 (No. 2)
Asymmetric unit:
Ba 0.231 0.274 0.403 (multiplicity 2)
Zn 0.000 0.500 0.000 (multiplicity 1)
Zn 0.500 0.000 0.000 (multiplicity 1)
Bi 0.095 0.098 0.091 (multiplicity 2)
Bi 0.284 0.493 0.704 (multiplicity 2)
Bi 0.318 0.782 0.349 (multiplicity 2)
Bi 0.349 0.662 0.990 (multiplicity 2)

=====

Q: Which of them is the least stable? A: version w.

=====

Version w
First-principles (PBE-GGA) data for a geometry-optimized BaZrBi2 structure, as listed in the Alexandria database.

Summary:
theoretical density	8.5	g/cm³

Cell lengths 7.959, 7.959, 7.959 Å; angles 90.00, 90.00, 90.00 degrees
Space group Fm-3m (No. 225)
Asymmetric unit:
Ba 0.000 0.000 0.000 (multiplicity 4)
Zr 0.000 0.000 0.500 (multiplicity 4)
Bi 0.250 0.250 0.250 (multiplicity 8)

=====

Version x
First-principles (PBE-GGA) data for a geometry-optimized BaZrBi2 structure, as listed in the Alexandria database.

Summary:
theoretical density	7.2	g/cm³

Cell lengths 8.597, 8.597, 8.037 Å; angles 90.00, 90.00, 90.00 degrees
Space group I-42d (No. 122)
Asymmetric unit:
Ba 0.000 0.000 0.000 (multiplicity 4)
Zr 0.000 0.000 0.500 (multiplicity 4)
Bi 0.200 0.750 0.625 (multiplicity 8)

=====

Version y
First-principles (PBE-GGA) data for a geometry-optimized BaZrBi2 structure, as listed in the Alexandria database.

Summary:
theoretical density	7.7	g/cm³

Cell lengths 4.4735, 4.4735, 24.1704 Å; angles 90.00, 90.00, 120.00 degrees
Space group R-3m (No. 166, hexagonal axes)
Asymmetric unit:
Ba 0.0000 0.0000 0.0000 (multiplicity 3)
Zr 0.0000 0.0000 0.5000 (multiplicity 3)
Bi 0.0000 0.0000 0.2346 (multiplicity 6)

=====

Version z
First-principles (PBE-GGA) data for a geometry-optimized BaZrBi2 structure, as listed in the Alexandria database.

Summary:
theoretical density	8.6	g/cm³

Cell lengths 3.790, 3.790, 8.677 Å; angles 90.00, 90.00, 90.00 degrees
Space group P4/mmm (No. 123)
Asymmetric unit:
Ba 0.000 0.000 0.000 (multiplicity 1)
Zr 0.000 0.000 0.500 (multiplicity 1)
Bi 0.500 0.500 0.296 (multiplicity 2)

=====

Q: Which of them is the least stable? A: version w.